TiCd3Sb after structural relaxation, computed with PBE.

a b c (Å): 5.5056 5.5056 5.5056
angles (deg): 90.00 90.00 90.00
With the nearest neighbours (Å) after each atom.
Element x y z (fractional)
Ti: 0.0000 0.0000 0.0000  12 Cd 3.89
Cd: 0.0000 0.5000 0.5000  2 Sb 2.75
Cd: 0.5000 0.0000 0.5000  2 Sb 2.75
Cd: 0.5000 0.5000 0.0000  2 Sb 2.75
Sb: 0.5000 0.5000 0.5000  6 Cd 2.75

Raw formation energy ... 499 kJ/mol of formula units
Theoretical density ... 5.0 Mg/m³
E above lowest polymorph ... 1.20 eV per formula unit
Total DFT energy (no corrections) ... -1.917 eV/atom



TiCdSb after structural relaxation, computed with PBE.

a b c (Å): 4.3736 4.3736 6.9054
angles (deg): 90.00 90.00 90.00
With the nearest neighbours (Å) after each atom.
Element x y z (fractional)
Ti: 0.2500 0.7500 0.0000  4 Sb 2.89, 4 Cd 3.03, 4 Ti 3.09
Ti: 0.7500 0.2500 0.0000  4 Sb 2.89, 4 Cd 3.03, 4 Ti 3.09
Cd: 0.2500 0.2500 0.3039  5 Sb 2.92-3.10, 4 Ti 3.03
Cd: 0.7500 0.7500 0.6961  5 Sb 2.92-3.10, 4 Ti 3.03
Sb: 0.2500 0.2500 0.7261  4 Ti 2.89, 5 Cd 2.92-3.10
Sb: 0.7500 0.7500 0.2739  4 Ti 2.89, 5 Cd 2.92-3.10

Raw formation energy ... -80 kJ/mol of formula units
Theoretical density ... 7.1 Mg/m³
Total DFT energy (no corrections) ... -4.586 eV/atom



Ti2CdSb after structural relaxation, computed with PBE.

a b c (Å): 4.7676 4.7676 4.7676
angles (deg): 60.00 60.00 60.00
With the nearest neighbours (Å) after each atom.
Element x y z (fractional)
Ti: 0.2500 0.2500 0.2500  4 Cd 2.92, 4 Sb 2.92
Ti: 0.7500 0.7500 0.7500  4 Cd 2.92, 4 Sb 2.92
Cd: 0.0000 0.0000 0.0000  8 Ti 2.92
Sb: 0.5000 0.5000 0.5000  8 Ti 2.92

Raw formation energy ... -11 kJ/mol of formula units
Theoretical density ... 7.1 Mg/m³
E above lowest polymorph ... 0.45 eV per formula unit
Total DFT energy (no corrections) ... -5.234 eV/atom



TiCdSb2 after structural relaxation, computed with PBE.

a b c (Å): 7.8621 7.8621 7.8621
angles (deg): 131.60 131.60 70.86
With the nearest neighbours (Å) after each atom.
Element x y z (fractional)
Ti: 0.0000 0.0000 0.0000  4 Sb 2.69
Ti: 0.7500 0.2500 0.5000  4 Sb 2.69
Cd: 0.2500 0.7500 0.5000  4 Sb 2.89
Cd: 0.5000 0.5000 0.0000  4 Sb 2.89
Sb: 0.0983 0.6250 0.9733  2 Ti 2.69, 2 Cd 2.89
Sb: 0.3750 0.3483 0.4733  2 Ti 2.69, 2 Cd 2.89
Sb: 0.6517 0.1250 0.0267  2 Ti 2.69, 2 Cd 2.89
Sb: 0.8750 0.9017 0.5267  2 Ti 2.69, 2 Cd 2.89

Raw formation energy ... 28 kJ/mol of formula units
Theoretical density ... 5.0 Mg/m³
Total DFT energy (no corrections) ... -4.192 eV/atom



Ti6CdSb after structural relaxation, computed with PBE.

a b c (Å): 4.7732 5.8679 5.8679
angles (deg): 60.09 90.00 90.00
With the nearest neighbours (Å) after each atom.
Element x y z (fractional)
Ti: 0.0000 0.0000 0.0000  8 Ti 2.86-3.01, 2 Sb 2.94, 2 Cd 2.95
Ti: 0.0000 0.4878 0.9994  8 Ti 2.86-3.01, 2 Sb 2.93-2.94, 2 Cd 2.95
Ti: 0.0000 0.9994 0.4878  8 Ti 2.86-3.01, 2 Sb 2.93-2.94, 2 Cd 2.95
Ti: 0.5000 0.3272 0.3272  8 Ti 2.91-2.95, 2 Sb 2.94, 2 Cd 2.94
Ti: 0.5000 0.3278 0.8303  8 Ti 2.91-2.95, 2 Sb 2.93, 2 Cd 2.93-2.94
Ti: 0.5000 0.8303 0.3278  8 Ti 2.91-2.95, 2 Sb 2.93, 2 Cd 2.93-2.94
Cd: 0.5000 0.8288 0.8288  12 Ti 2.93-2.95
Sb: 0.0000 0.4954 0.4954  12 Ti 2.93-2.94

Raw formation energy ... -140 kJ/mol of formula units
Theoretical density ... 6.1 Mg/m³
Total DFT energy (no corrections) ... -6.732 eV/atom



Ti2CdSb after structural relaxation, computed with PBE.

a b c (Å): 6.0910 6.0910 6.0910
angles (deg): 103.49 103.49 122.25
With the nearest neighbours (Å) after each atom.
Element x y z (fractional)
Ti: 0.1190 0.6250 0.9940  2 Sb 2.74, 2 Cd 2.80, 2 Ti 2.94
Ti: 0.3750 0.3690 0.4940  2 Sb 2.74, 2 Cd 2.80, 2 Ti 2.94
Ti: 0.6310 0.1250 0.0060  2 Sb 2.74, 2 Cd 2.80, 2 Ti 2.94
Ti: 0.8750 0.8810 0.5060  2 Sb 2.74, 2 Cd 2.80, 2 Ti 2.94
Cd: 0.2500 0.7500 0.5000  4 Ti 2.80, 2 Sb 2.94
Cd: 0.5000 0.5000 0.0000  4 Ti 2.80, 2 Sb 2.94
Sb: 0.0000 0.0000 0.0000  4 Ti 2.74, 2 Cd 2.94
Sb: 0.7500 0.2500 0.5000  4 Ti 2.74, 2 Cd 2.94

Raw formation energy ... 43 kJ/mol of formula units
Theoretical density ... 6.5 Mg/m³
E above lowest polymorph ... 1.01 eV per formula unit
Total DFT energy (no corrections) ... -5.096 eV/atom



TiCdSb2 after structural relaxation, computed with PBE.

a b c (Å): 7.0964 7.0964 7.0964
angles (deg): 34.48 34.48 34.48
With the nearest neighbours (Å) after each atom.
Element x y z (fractional)
Ti: 0.0000 0.0000 0.0000  6 Sb 2.80-2.86
Cd: 0.8372 0.8372 0.8372  6 Sb 3.06-3.08, 1 Ti 3.26
Sb: 0.4092 0.4092 0.4092  3 Ti 2.86, 3 Cd 3.08
Sb: 0.5973 0.5973 0.5973  3 Ti 2.80, 3 Cd 3.06

Raw formation energy ... -19 kJ/mol of formula units
Theoretical density ... 6.6 Mg/m³
Total DFT energy (no corrections) ... -4.313 eV/atom



TiCd2Sb2 after structural relaxation, computed with PBE.

a b c (Å): 7.4496 7.4496 4.3849
angles (deg): 90.00 90.00 90.00
With the nearest neighbours (Å) after each atom.
Element x y z (fractional)
Ti: 0.0000 0.0000 0.0000  4 Sb 2.80
Ti: 0.5000 0.5000 0.0000  4 Sb 2.80
Cd: 0.1528 0.3472 0.5000  6 Sb 2.94-3.21, 1 Cd 3.22
Cd: 0.3472 0.8472 0.5000  6 Sb 2.94-3.21, 1 Cd 3.22
Cd: 0.6528 0.1528 0.5000  6 Sb 2.94-3.21, 1 Cd 3.22
Cd: 0.8472 0.6528 0.5000  6 Sb 2.94-3.21, 1 Cd 3.22
Sb: 0.1610 0.6610 0.0000  2 Ti 2.80, 2 Cd 2.94
Sb: 0.3390 0.1610 0.0000  2 Ti 2.80, 2 Cd 2.94
Sb: 0.6610 0.8390 0.0000  2 Ti 2.80, 2 Cd 2.94
Sb: 0.8390 0.3390 0.0000  2 Ti 2.80, 2 Cd 2.94

Raw formation energy ... 39 kJ/mol of formula units
Theoretical density ... 7.0 Mg/m³
Total DFT energy (no corrections) ... -3.513 eV/atom